Entry 1:
# PBE-GGA K2TaTl, relaxed
# **Formation energy**: 0.900 eV/atom
data_K2TaTl
_cell_length_a 3.510
_cell_length_b 5.157
_cell_length_c 12.868
_cell_angle_alpha 90.00
_cell_angle_beta 90.00
_cell_angle_gamma 90.00
_space_group_name_H-M_alt 'C m m m'
_space_group_IT_number 65
_space_group_name_Hall '-C 2 2'
loop_
_atom_site_label
_atom_site_type_symbol
_atom_site_fract_x
_atom_site_fract_y
_atom_site_fract_z
K1 K 0.000 0.000 0.246
Ta1 Ta 0.000 0.500 0.000
Tl1 Tl 0.000 0.500 0.500



Entry 2:
# PBE-GGA Y2TiAgH, relaxed
# **Final energy**: -5.537 eV/atom
data_Y2TiAgH
_cell_length_a 5.044
_cell_length_b 5.044
_cell_length_c 3.881
_cell_angle_alpha 90.00
_cell_angle_beta 90.00
_cell_angle_gamma 90.00
_space_group_name_H-M_alt 'P 4/m m m'
_space_group_IT_number 123
_space_group_name_Hall '-P 4 2'
loop_
_atom_site_label
_atom_site_type_symbol
_atom_site_fract_x
_atom_site_fract_y
_atom_site_fract_z
Y1 Y 0.000 0.500 0.000
Ti1 Ti 0.000 0.000 0.500
Ag1 Ag 0.500 0.500 0.500
H1 H 0.000 0.000 0.000



Entry 3:
# PBE-GGA PuAl7Cu5, relaxed
# **Formation energy**: -0.296 eV/atom
data_PuAl7Cu5
_cell_length_a 5.081
_cell_length_b 8.812
_cell_length_c 8.722
_cell_angle_alpha 90.00
_cell_angle_beta 90.00
_cell_angle_gamma 90.00
_space_group_name_H-M_alt 'I m m 2'
_space_group_IT_number 44
_space_group_name_Hall 'I 2 -2'
loop_
_atom_site_label
_atom_site_type_symbol
_atom_site_fract_x
_atom_site_fract_y
_atom_site_fract_z
Pu1 Pu 0.000 0.000 0.000
Al1 Al 0.000 0.000 0.345
Al2 Al 0.000 0.000 0.651
Al3 Al 0.000 0.292 0.508
Al4 Al 0.000 0.347 0.994
Al5 Al 0.000 0.500 0.276
Cu1 Cu 0.000 0.500 0.730
Cu2 Cu 0.249 0.252 0.252



Entry 4:
# PBE-GGA NaCoRu, relaxed
# **Formation energy**: 0.466 eV/atom
data_NaCoRu
_cell_length_a 8.514
_cell_length_b 2.689
_cell_length_c 9.902
_cell_angle_alpha 90.00
_cell_angle_beta 110.29
_cell_angle_gamma 90.00
_space_group_name_H-M_alt 'C 1 m 1'
_space_group_IT_number 8
_space_group_name_Hall 'C -2y'
loop_
_atom_site_label
_atom_site_type_symbol
_atom_site_fract_x
_atom_site_fract_y
_atom_site_fract_z
Na1 Na 0.000 0.000 0.000
Na2 Na 0.143 0.500 0.734
Co1 Co 0.296 0.000 0.532
Co2 Co 0.484 0.500 0.450
Ru1 Ru 0.156 0.500 0.310
Ru2 Ru 0.350 0.000 0.212



Entry 5:
# PBE-GGA Ca6W7, relaxed
# **Formation energy**: 0.674 eV/atom
data_Ca6W7
_cell_length_a 5.6022
_cell_length_b 5.6022
_cell_length_c 32.3806
_cell_angle_alpha 90.00
_cell_angle_beta 90.00
_cell_angle_gamma 120.00
_space_group_name_H-M_alt 'R -3 m'
_space_group_IT_number 166
_space_group_name_Hall '-R 3 2"'
loop_
_atom_site_label
_atom_site_type_symbol
_atom_site_fract_x
_atom_site_fract_y
_atom_site_fract_z
Ca1 Ca 0.0000 0.0000 0.0527
Ca2 Ca 0.0000 0.0000 0.1509
Ca3 Ca 0.0000 0.0000 0.3329
W1 W 0.0000 0.0000 0.5000
W2 W 0.0052 0.5026 0.0967



Entry 6:
# PBE-GGA Sr3CaHg, relaxed
# **Formation energy**: -0.100 eV/atom
data_Sr3CaHg
_cell_length_a 6.319
_cell_length_b 6.319
_cell_length_c 6.319
_cell_angle_alpha 90.00
_cell_angle_beta 90.00
_cell_angle_gamma 90.00
_space_group_name_H-M_alt 'P m -3 m'
_space_group_IT_number 221
_space_group_name_Hall '-P 4 2 3'
loop_
_atom_site_label
_atom_site_type_symbol
_atom_site_fract_x
_atom_site_fract_y
_atom_site_fract_z
Sr1 Sr 0.000 0.000 0.500
Ca1 Ca 0.500 0.500 0.500
Hg1 Hg 0.000 0.000 0.000



Entry 7:
# PBE-GGA Tb2TlAs, relaxed
# **Formation energy**: -0.850 eV/atom
data_Tb2TlAs
_cell_length_a 3.9765
_cell_length_b 3.9765
_cell_length_c 24.6472
_cell_angle_alpha 90.00
_cell_angle_beta 90.00
_cell_angle_gamma 120.00
_space_group_name_H-M_alt 'R 3 m'
_space_group_IT_number 160
_space_group_name_Hall 'R 3 -2"'
loop_
_atom_site_label
_atom_site_type_symbol
_atom_site_fract_x
_atom_site_fract_y
_atom_site_fract_z
Tb1 Tb 0.0000 0.0000 0.0000
Tb2 Tb 0.0000 0.0000 0.1959
Tl1 Tl 0.0000 0.0000 0.7646
As1 As 0.0000 0.0000 0.5969



Entry 8:
# PBE-GGA Ag5Te2Se, relaxed
# **Uncorrected formation energy**: -0.008 eV per atom
data_Ag5Te2Se
_cell_length_a 4.680
_cell_length_b 14.767
_cell_length_c 13.619
_cell_angle_alpha 90.00
_cell_angle_beta 90.00
_cell_angle_gamma 90.00
_space_group_name_H-M_alt 'C m c m'
_space_group_IT_number 63
_space_group_name_Hall '-C 2c 2'
loop_
_atom_site_label
_atom_site_type_symbol
_atom_site_fract_x
_atom_site_fract_y
_atom_site_fract_z
Ag1 Ag 0.000 0.053 0.087
Ag2 Ag 0.000 0.262 0.066
Ag3 Ag 0.000 0.281 0.750
Te1 Te 0.000 0.137 0.600
Se1 Se 0.000 0.140 0.250